Density functional theory data (PBE) for a relaxed structure of Sr3P4Pt2.

a b c (Å): 4.2083 6.0534 8.2726
angles (deg): 95.03 90.00 110.34
Element x y z (fractional)
Sr1 0.3330 0.6660 0.3308
Sr2 0.6670 0.3340 0.6692
Sr3 0.0000 0.0000 0.0000
P1 0.0528 0.1056 0.3882
P2 0.9472 0.8944 0.6118
P3 0.7231 0.4462 0.0574
P4 0.2769 0.5538 0.9426
Pt1 0.6098 0.2196 0.2806
Pt2 0.3902 0.7804 0.7194

Values from the calculation:
* Fermi-level density of states: 0.407 states/eV per atom
* calculated total energy: -5.32 eV per atom

Density functional theory data (PBE) for a relaxed structure of CeDy2CdHg4.

a b c (Å): 5.1292 5.1292 9.4874
angles (deg): 74.32 74.32 60.00
Each line ends with the local moment (μB).
Element x y z (fractional)
Dy1 0.7593 0.7593 0.7220  0.05
Dy2 0.2407 0.2407 0.2780  0.05
Hg1 0.6229 0.6229 0.1314  0.02
Hg2 0.3771 0.3771 0.8686  0.02
Hg3 0.1240 0.1240 0.6281  0.00
Hg4 0.8760 0.8760 0.3719  0.00
Cd1 0.5000 0.5000 0.5000  0.00
Ce1 0.0000 0.0000 0.0000  0.87

Values from the calculation:
* Fermi-level density of states: 1.402 states/eV per atom
* calculated total energy: -2.52 eV per atom

Density functional theory data (PBE) for a relaxed structure of Al2Zn4Ga5.

a b c (Å): 2.8840 6.3441 11.2091
angles (deg): 104.53 97.39 90.00
Element x y z (fractional)
Ga1 0.7646 0.6985 0.5293
Ga2 0.5000 0.0000 0.0000
Ga3 0.8311 0.2069 0.6623
Ga4 0.1689 0.7931 0.3377
Ga5 0.2354 0.3015 0.4707
Zn1 0.0367 0.6974 0.0734
Zn2 0.1170 0.1126 0.2339
Zn3 0.8830 0.8874 0.7661
Zn4 0.9633 0.3026 0.9266
Al1 0.5910 0.4319 0.1820
Al2 0.4090 0.5681 0.8180

Values from the calculation:
* ΔE to the lowest computed polymorph: 0.0 meV/atom
* Fermi-level density of states: 0.261 states/eV per atom

Density functional theory data (PBE) for a relaxed structure of LaInI.

a b c (Å): 4.2821 4.5118 20.3187
angles (deg): 90.00 90.00 90.00
Element x y z (fractional)
I1 0.2486 0.7500 0.6894
I2 0.2514 0.7500 0.1894
I3 0.7514 0.2500 0.3106
I4 0.7486 0.2500 0.8106
In1 0.2497 0.2500 0.4978
In2 0.7497 0.7500 0.0022
In3 0.2503 0.2500 0.9978
In4 0.7503 0.7500 0.5022
La1 0.7512 0.2500 0.1303
La2 0.2488 0.7500 0.8697
La3 0.2512 0.7500 0.3697
La4 0.7488 0.2500 0.6303

Values from the calculation:
* Fermi-level density of states: 0.897 states/eV per atom
* calculated total energy: -3.92 eV per atom